Here is a geometry-optimized Li4Mn3O7 structure from Alexandria via LeMat-Bulk. Energies are from PBE with a Hubbard U.

Cell: 5.347 6.015 8.689 Å, 91.96 93.55 110.91°
Each line ends with the local moment (μB).
Fractional coordinates of all 28 atoms:
O (0.685, 0.667, 0.433)  -0.06
O (0.837, 0.501, 0.708)  -0.07
O (0.980, 0.239, 0.003)  0.01
O (0.594, 0.906, 0.135)  0.01
Mn (0.571, 0.644, 0.641)  3.21
O (0.450, 0.618, 0.849)  0.00
O (0.310, 0.799, 0.590)  -0.07
Mn (0.141, 0.780, 0.783)  3.86
O (0.020, 0.761, 0.997)  0.01
O (0.550, 0.382, 0.151)  0.00
Mn (0.429, 0.356, 0.359)  3.21
Li (0.000, 0.000, 0.500)  -0.01
O (0.315, 0.333, 0.567)  -0.06
O (0.406, 0.094, 0.865)  0.01
Li (0.164, 0.280, 0.788)  0.00
O (0.163, 0.499, 0.292)  -0.07
O (0.838, 0.956, 0.714)  0.00
O (0.690, 0.201, 0.410)  -0.07
Li (0.416, 0.848, 0.364)  0.00
O (0.162, 0.044, 0.286)  0.00
Li (0.000, 0.500, 0.500)  0.01
Li (0.286, 0.569, 0.075)  0.00
Li (0.836, 0.720, 0.212)  0.00
Li (0.714, 0.431, 0.925)  0.00
Mn (0.859, 0.220, 0.217)  3.86
Mn (0.715, 0.932, 0.927)  3.86
Mn (0.285, 0.068, 0.073)  3.86
Li (0.584, 0.152, 0.636)  0.00

Values from the calculation:
**Energy above the most stable polymorph in this dataset**: 1.8 meV per atom
**Space group**: No. 2
**V**: 260.1 Å³ per cell